1.
# Pm2NiCl

An optimized crystal structure of Pm2NiCl (PBE-GGA, Alexandria via LeMat-Bulk).

extended XYZ file:
```
4
Lattice="-3.0237 1.0838 1.1160 0.7696 -1.0778 3.1319 3.1785 7.1413 1.6765" Properties=species:S:1:pos:R:3 pbc="T T T"
Ni -1.1271 0.0030 2.1240
Pm 0.6801 1.5281 0.3587
Pm 2.4984 5.6132 1.3178
Cl 0.4622 3.5737 2.9622
```

Properties
energy relative to the lowest polymorph listed for this composition	165	meV per atom
crystal system	tetragonal
E_tot	-5.03	eV per atom
DOS(E_F)	3.8	states/eV/f.u.

2.
# BaInMo

An optimized crystal structure of BaInMo (PBE-GGA, Alexandria via LeMat-Bulk).

extended XYZ file:
```
3
Lattice="7.8922 0.0108 -0.0110 7.2440 3.1327 0.0380 0.6482 0.0866 3.1210" Properties=species:S:1:pos:R:3 pbc="T T T"
In 5.1540 1.0373 2.1588
Ba 0.7336 0.1046 3.1028
Mo 10.5451 2.1748 1.0075
```

Properties
energy relative to the lowest polymorph listed for this composition	102	meV per atom
crystal system	tetragonal
formation enthalpy at 0 K	0.72	eV per atom
E_tot	-4.45	eV per atom
DOS(E_F)	3.9	states/eV/f.u.

3.
# Zn6CuAg3

An optimized crystal structure of Zn6CuAg3 (PBE-GGA, Alexandria via LeMat-Bulk).

extended XYZ file:
```
20
Lattice="-1.6612 -2.2865 3.4375 -5.9107 -2.1459 -4.2839 7.4272 -6.3504 -0.6348" Properties=species:S:1:pos:R:3 pbc="T T T"
Cu -1.9182 -6.2557 -3.6478
Cu 1.7735 -4.5272 2.1666
Zn 0.5823 -6.3798 -2.5220
Zn 3.2630 -6.5174 1.5627
Zn -5.7489 -4.6566 -1.5548
Zn -0.7270 -4.4031 1.0408
Zn -0.1378 -1.9475 0.0783
Zn -3.4078 -4.2655 -3.0439
Zn 5.6041 -6.1263 0.0736
Zn -0.0070 -8.8353 -1.5595
Zn -1.7925 -6.7575 -1.0403
Zn 2.4482 -8.7369 -0.3075
Zn -2.5929 -2.0459 -1.1737
Zn 1.6478 -4.0254 -0.4409
Ag 2.3292 -8.4602 -3.0615
Ag -2.4739 -2.3226 1.5804
Ag 0.6482 -6.5775 0.2590
Ag -3.3171 -4.5463 -0.3062
Ag 3.1723 -6.2365 -1.1749
Ag -0.7929 -4.2053 -1.7402
```

Properties
energy relative to the lowest polymorph listed for this composition	0	meV per atom
crystal system	monoclinic
formation enthalpy at 0 K	-0.03	eV per atom
E_tot	-2.06	eV per atom
DOS(E_F)	2.7	states/eV/f.u.

Which value of DOS(E_F) does entry 2 give?
3.9 states/eV/f.u.

Among the records above, which one has the lowest E_tot?
Pm2NiCl